A PBEsol-optimized structure of TaCuNi. Source: Alexandria, functional SCAN.

Unit cell a=2.751 b=3.582 c=7.921 alpha=90.00 beta=90.00 gamma=90.00
Space group Imm2 (No. 44)
Unique sites:
Ta: 0.000 0.000 0.000 (multiplicity 2)
Cu: 0.000 0.000 0.325 (multiplicity 2)
Ni: 0.000 0.000 0.670 (multiplicity 2)

Computed properties:
Total magnetization in μB per formula unit: 0.000
ΔE to the lowest computed polymorph in meV/atom: 0.0
Calculated formation energy in meV/atom: -116
E in eV for the cell shown: -196.6